(1)
Ce2Pr3TmAs6 | Alexandria via LeMat-Bulk | PBE | optimized geometry; formation enthalpy at 0 K = -1.475 eV/atom; ρ = 6.8 g cm⁻³
1.0
7.329 -0.001 0.000
-3.664 6.348 0.000
-1.223 -2.117 6.927
Ce Pr Tm As
2 3 1 6
direct
0.334 0.666 0.000 Ce
0.666 0.334 0.000 Ce
0.167 0.833 0.500 Pr
0.833 0.167 0.500 Pr
0.500 0.500 0.500 Pr
0.000 0.000 0.000 Tm
0.921 0.590 0.762 As
0.750 0.750 0.240 As
0.079 0.410 0.238 As
0.590 0.921 0.762 As
0.250 0.250 0.760 As
0.410 0.079 0.238 As

(2)
Pa2GeN | Alexandria via LeMat-Bulk | PBE | optimized geometry; formation energy without anion corrections = -242 kJ/mol of formula units; offset from the most stable computed form = 0.248 eV/atom; ρ = 12.2 g cm⁻³
1.0
-0.673 2.107 -2.368
-2.572 -0.478 -1.911
-5.759 4.897 3.779
Pa Ge N
2 1 1
direct
0.101 0.101 0.697 Pa
0.233 0.233 0.302 Pa
0.667 0.667 0.000 Ge
0.500 0.500 0.501 N

(3)
Cu2TeSe | Alexandria via LeMat-Bulk | PBE | optimized geometry; formation energy without anion corrections = 144 kJ/mol of formula units; offset from the most stable computed form = 0.456 eV/atom; ρ = 7.5 g cm⁻³
1.0
-4.442 -0.823 -0.326
0.880 -3.920 -2.092
0.078 -1.682 3.184
Cu Se Te
2 1 1
direct
0.000 0.000 0.000 Cu
0.500 0.500 0.000 Cu
0.500 0.000 0.500 Se
0.000 0.500 0.500 Te

(4)
Y2Re2S | Alexandria via LeMat-Bulk | PBE | optimized geometry; formation energy without anion corrections = 179 kJ/mol of formula units; offset from the most stable computed form = 0.281 eV/atom; ρ = 8.4 g cm⁻³
1.0
-1.877 -0.457 5.311
3.229 -4.578 0.747
3.370 -0.433 4.161
Y Re S
2 2 1
direct
0.750 0.250 0.500 Y
0.250 0.750 0.500 Y
0.330 0.330 0.341 Re
0.670 0.670 0.659 Re
0.000 0.000 0.000 S

(5)
HfTi2H | Alexandria via LeMat-Bulk | PBE | optimized geometry; offset from the most stable computed form = 0.144 eV/atom; ρ = 7.3 g cm⁻³
1.0
-4.761 3.071 -0.240
-2.814 -4.155 2.641
-2.927 1.060 4.638
H Hf Ti
2 2 4
direct
0.500 0.500 0.000 H
0.250 0.750 0.500 H
0.000 0.000 0.000 Hf
0.750 0.250 0.500 Hf
0.436 0.125 0.250 Ti
0.314 0.625 0.250 Ti
0.375 0.564 0.750 Ti
0.875 0.686 0.750 Ti

(6)
Tc3GeO | Alexandria via LeMat-Bulk | PBE | optimized geometry; formation energy without anion corrections = 67 kJ/mol of formula units; offset from the most stable computed form = 0.000 eV/atom; ρ = 9.4 g cm⁻³
1.0
-3.842 -1.277 0.455
0.175 -1.823 -3.639
1.345 -3.412 1.773
Ge Tc O
1 3 1
direct
0.500 0.500 0.500 Ge
0.000 0.500 0.000 Tc
0.000 0.000 0.500 Tc
0.500 0.000 0.000 Tc
0.000 0.000 0.000 O

(7)
GaPtRh2 | Alexandria via LeMat-Bulk | PBE | optimized geometry; formation enthalpy at 0 K = -0.300 eV/atom; ρ = 13.5 g cm⁻³
1.0
2.876 0.000 0.000
0.000 2.876 0.000
0.000 0.000 7.020
Rh Ga Pt
2 1 1
direct
0.000 0.000 0.774 Rh
0.000 0.000 0.226 Rh
0.500 0.500 0.000 Ga
0.500 0.500 0.500 Pt

(8)
ScPd2W | Alexandria via LeMat-Bulk | PBE | optimized geometry; formation enthalpy at 0 K = -0.062 eV/atom; offset from the most stable computed form = 0.000 eV/atom; ρ = 10.9 g cm⁻³
1.0
0.000 3.229 3.229
3.229 0.000 3.229
3.229 3.229 0.000
Sc Pd W
1 2 1
direct
0.000 0.000 0.000 Sc
0.250 0.250 0.250 Pd
0.750 0.750 0.750 Pd
0.500 0.500 0.500 W